(1)
Computed, not measured: Be2CoNi2 after structural relaxation at the PBE-GGA level of DFT.

Structure (extended XYZ):
```
10
Lattice="6.3652 0.0000 0.0000 0.0000 6.3652 0.0000 0.0000 0.0000 2.4198" Properties=species:S:1:pos:R:3 pbc="T T T"
Ni 0.8480 2.3346 0.0000
Co 0.0000 0.0000 0.0000
Ni 2.3346 5.5172 0.0000
Be 2.1323 1.0503 1.2099
Be 4.2329 5.3149 1.2099
Be 1.0503 4.2329 1.2099
Be 5.3149 2.1323 1.2099
Co 3.1826 3.1826 0.0000
Ni 5.5172 4.0306 0.0000
Ni 4.0306 0.8480 0.0000
```

Properties
Symmetry: P4/mbm (127)
Energy relative to the lowest polymorph listed for this composition in eV/f.u.: 0.599
DFT total energy in eV/atom: -5.339
Calculated formation energy in eV per atom: -0.12

(2)
Computed, not measured: Ca3AgBi2 after structural relaxation at the PBE-GGA level of DFT.

Structure (extended XYZ):
```
12
Lattice="6.5645 0.0000 0.0000 0.0000 6.7689 0.0000 -3.2822 -3.3845 8.3316" Properties=species:S:1:pos:R:3 pbc="T T T"
Ag 0.0000 1.6922 0.0000
Ca 1.3547 3.3845 2.8152
Ca -1.9275 3.3845 5.5164
Bi -1.4624 0.0000 6.0850
Ca 1.9275 0.0000 5.5164
Ca 3.2822 1.6922 0.0000
Bi 1.4624 3.3845 6.0850
Bi 1.8198 0.0000 2.2466
Bi 4.7447 3.3845 2.2466
Ca 5.2097 0.0000 2.8152
Ca 3.2822 5.0767 0.0000
Ag 0.0000 5.0767 0.0000
```

Properties
Symmetry: Ibam (72)
Energy relative to the lowest polymorph listed for this composition in eV/f.u.: 0.564
DFT total energy in eV/atom: -3.342
Calculated formation energy in eV per atom: -0.57

(3)
Computed, not measured: BeAuBr2 after structural relaxation at the PBE-GGA level of DFT.

Structure (extended XYZ):
```
4
Lattice="-0.2236 -6.6100 3.2149 3.4386 -3.6243 5.3962 -1.5736 -2.8781 6.5816" Properties=species:S:1:pos:R:3 pbc="T T T"
Be 0.0000 0.0000 0.0000
Br 0.1599 -1.2775 1.4802
Au 0.8207 -6.5562 7.5964
Br 1.4815 -11.8349 13.7126
```

Properties
Symmetry: R-3m (166)
Energy relative to the lowest polymorph listed for this composition in eV/f.u.: 1.650
Formation energy from raw total energies in eV per atom: 0.139
DFT total energy in eV/atom: -2.448

(4)
Computed, not measured: Pm4Tl2N after structural relaxation at the PBE-GGA level of DFT.

Structure (extended XYZ):
```
7
Lattice="3.5107 0.0000 0.0000 0.0000 4.8099 -1.8193 0.0000 1.8429 12.1402" Properties=species:S:1:pos:R:3 pbc="T T T"
Pm 0.0000 4.1193 3.6229
Pm 1.7554 3.6776 9.7230
N 0.0000 2.4049 -0.9096
Pm 0.0000 2.5335 6.6980
Pm 1.7554 2.9752 0.5979
Tl 1.7554 5.3017 6.7488
Tl 1.7554 1.3511 3.5721
```

Properties
Symmetry: Cmmm (65)
Formation energy from raw total energies in eV per atom: -0.359
DFT total energy in eV/atom: -4.939

(5)
Computed, not measured: Hf5Hg after structural relaxation at the PBE-GGA level of DFT.

Structure (extended XYZ):
```
6
Lattice="4.4263 0.0000 0.0000 0.0000 4.4633 0.0000 0.0000 -2.2317 6.6300" Properties=species:S:1:pos:R:3 pbc="T T T"
Hf 0.0000 0.0000 4.4015
Hf 0.0000 2.2317 2.2285
Hf 2.2131 0.0000 2.2338
Hg 0.0000 0.0000 0.0000
Hf 2.2131 2.2317 4.3962
Hf 2.2131 2.2317 0.0000
```

Properties
Symmetry: Cmmm (65)
DFT total energy in eV/atom: -8.360
Calculated formation energy in eV per atom: -0.02

(6)
Computed, not measured: BeAlPb2 after structural relaxation at the PBE-GGA level of DFT.

Structure (extended XYZ):
```
8
Lattice="5.2206 0.0000 0.0000 0.0000 5.2206 0.0000 2.6103 2.6103 7.7723" Properties=species:S:1:pos:R:3 pbc="T T T"
Pb 1.5474 3.9155 1.9431
Al 5.2206 2.6103 3.8862
Pb 3.6733 1.3052 1.9431
Be 2.6103 2.6103 0.0000
Be 2.6103 5.2206 3.8862
Pb 6.5258 6.2836 5.8292
Pb 3.9155 4.1577 5.8292
Al 0.0000 0.0000 0.0000
```

Properties
Symmetry: I-42d (122)
Energy relative to the lowest polymorph listed for this composition in eV/f.u.: 0.901
DFT total energy in eV/atom: -3.182
Calculated formation energy in eV per atom: 0.54

(7)
Computed, not measured: CaMnSCl2 after structural relaxation at the PBE-GGA level of DFT.

Structure (extended XYZ):
```
5
Lattice="-0.6966 4.1649 -2.3419 -0.6857 -2.5033 -4.2479 -4.7316 -0.2718 0.9240" Properties=species:S:1:pos:R:3 pbc="T T T"
Ca -3.0569 0.6949 -2.8329
Mn 0.0000 0.0000 0.0000
S -0.3429 -1.2516 -2.1240
Cl -0.3483 2.0824 -1.1709
Cl -2.3658 -0.1359 0.4620
```

Properties
Symmetry: P4/mmm (123)
Energy relative to the lowest polymorph listed for this composition in eV/f.u.: 0.000
Formation energy from raw total energies in eV per atom: -1.171
DFT total energy in eV/atom: -4.969

(8)
Computed, not measured: Sr8MgAg2 after structural relaxation at the PBE-GGA level of DFT.

Structure (extended XYZ):
```
11
Lattice="6.3485 0.1418 -1.0152 -2.0527 8.1760 -3.3525 0.1171 -0.0191 9.0712" Properties=species:S:1:pos:R:3 pbc="T T T"
Sr 0.4843 3.1309 1.9807
Sr 1.3424 5.5738 5.7893
Sr 3.6149 0.6625 2.1524
Sr 5.9352 2.1214 5.0821
Mg 0.0082 0.0258 0.0156
Ag 1.7940 5.7015 0.0543
Sr 0.7830 7.6865 2.5865
Sr 3.0556 2.7749 -1.0499
Ag 2.6027 2.6470 4.6849
Sr 4.8105 6.3695 -1.3579
Sr 3.9144 5.2182 2.7585
```

Properties
Symmetry: Cm (8)
DFT total energy in eV/atom: -1.971
Calculated formation energy in eV per atom: -0.08

(9)
Computed, not measured: CoGe3Os after structural relaxation at the PBE-GGA level of DFT.

Structure (extended XYZ):
```
5
Lattice="4.7714 0.0000 0.0000 0.0000 4.7714 0.0000 0.0000 0.0000 4.7714" Properties=species:S:1:pos:R:3 pbc="T T T"
Os 0.0000 0.0000 0.0000
Ge 2.3857 0.0000 0.0000
Ge 0.0000 0.0000 2.3857
Co 2.3857 2.3857 2.3857
Ge 0.0000 2.3857 0.0000
```

Properties
Symmetry: Pm-3m (221)
DFT total energy in eV/atom: -5.539
Calculated formation energy in eV per atom: 0.90

(10)
Computed, not measured: Re4AgW after structural relaxation at the PBE-GGA level of DFT.

Structure (extended XYZ):
```
6
Lattice="0.0000 3.6588 3.6588 3.6588 0.0000 3.6588 3.6588 3.6588 0.0000" Properties=species:S:1:pos:R:3 pbc="T T T"
Re 2.7392 4.5783 4.5783
Re 4.5783 2.7392 4.5783
W 5.4881 5.4881 5.4881
Re 4.5783 4.5783 2.7392
Ag 0.0000 0.0000 0.0000
Re 2.7392 2.7392 2.7392
```

Properties
Symmetry: F-43m (216)
DFT total energy in eV/atom: -10.450
Calculated formation energy in eV per atom: 0.48

(11)
Computed, not measured: PrTm2Sc after structural relaxation at the PBE-GGA level of DFT.

Structure (extended XYZ):
```
4
Lattice="-2.3127 2.2074 -1.4318 -3.2810 -1.0596 -0.6193 -4.9327 3.8560 9.6273" Properties=species:S:1:pos:R:3 pbc="T T T"
Tm -2.5913 1.2053 1.7586
Sc 0.0000 0.0000 0.0000
Pr -5.2631 2.5019 3.7881
Tm -7.9350 3.7985 5.8176
```

Properties
Symmetry: R-3m (166)
Energy relative to the lowest polymorph listed for this composition in eV/f.u.: 0.093
DFT total energy in eV/atom: -4.962
Calculated formation energy in eV per atom: 0.05

(12)
Computed, not measured: KCuTc2 after structural relaxation at the PBE-GGA level of DFT.

Structure (extended XYZ):
```
4
Lattice="-4.4849 9.4191 -1.0550 -6.7889 7.9204 -1.0607 -5.6742 8.7180 1.3217" Properties=species:S:1:pos:R:3 pbc="T T T"
Tc -8.7137 13.3974 -0.4082
K -12.7110 19.5432 -0.5955
Cu -4.2370 6.5144 -0.1985
Tc -16.7082 25.6889 -0.7828
```

Properties
Symmetry: R-3m (166)
Energy relative to the lowest polymorph listed for this composition in eV/f.u.: 1.487
DFT total energy in eV/atom: -5.523
Calculated formation energy in eV per atom: 0.96